Here is an optimized crystal structure of USi3Pt from Alexandria. Energies are from PBE-GGA.

extended XYZ file:
```
10
Lattice="2.0498 -10.7058 0.0000 2.0498 10.7058 0.0000 0.0000 0.0000 4.1006" Properties=species:S:1:pos:R:3 pbc="T T T"
U 2.0498 6.9717 0.0000
U 2.0498 -6.9717 0.0000
Si 2.0498 9.5424 2.0503
Si 2.0498 4.7725 2.0503
Si 2.0498 1.1682 0.0000
Si 2.0498 -1.1682 0.0000
Si 2.0498 -4.7725 2.0503
Si 2.0498 -9.5424 2.0503
Pt 2.0498 2.3928 2.0503
Pt 2.0498 -2.3928 2.0503
```

Calculated values
* uncorrected formation energy: -0.4719 eV per atom
* total DFT energy (no corrections): -71.92 eV per cell
* symmetry: Cmmm, No. 65